SrNpMnO6 | PBE+U | optimized geometry

Results
The value obtained for the volume is 261.3 Å³/cell. The uncorrected energy comes out at -8.084 eV per atom. The value obtained for the magnetization is 7.9 μB per cell.

Cell: 5.136 5.136 9.904 Å, 90.00 90.00 90.00°
Fractional coordinates of all 18 atoms:
Sr 0.000 0.000 0.000
Sr 0.500 0.500 0.500
Np 0.000 0.000 0.344
Np 0.500 0.500 0.844
Mn 0.000 0.000 0.674
Mn 0.500 0.500 0.174
O 0.166 0.166 0.512
O 0.194 0.194 0.208
O 0.209 0.209 0.811
O 0.291 0.709 0.311
O 0.306 0.694 0.708
O 0.334 0.666 0.012
O 0.666 0.334 0.012
O 0.694 0.306 0.708
O 0.709 0.291 0.311
O 0.791 0.791 0.811
O 0.806 0.806 0.208
O 0.834 0.834 0.512